1.
# LaDy3Y2

LaDy3Y2 after structural relaxation (PBE, the Alexandria database).

* SG: C2/c
* energy above the most stable polymorph in this dataset: 0.000 eV/atom

Cell: 6.2133 6.2074 12.4351 Å, 80.37 109.54 120.03°
Positions (direct):
Y  0.0000  0.0000  0.5000
Y  0.4998  0.9996  0.2500
Y  0.5002  0.0004  0.7500
Y  0.0000  0.0000  0.0000
La  0.1669  0.3338  0.2500
La  0.8331  0.6662  0.7500
Dy  0.8319  0.6638  0.2500
Dy  0.3313  0.6667  0.5000
Dy  0.1681  0.3362  0.7500
Dy  0.3354  0.6667  0.0000
Dy  0.6687  0.3333  0.5000
Dy  0.6646  0.3333  0.0000

---

2.
# La2Dy5Y12

La2Dy5Y12 after structural relaxation (PBE, the Alexandria database).

* SG: C2/m
* energy above the most stable polymorph in this dataset: 0.000 eV/atom

Cell: 9.3526 12.4523 8.5997 Å, 132.58 90.00 112.06°
Positions (direct):
Y  0.4419  0.8838  0.2106
Y  0.4355  0.2533  0.6032
Y  0.0916  0.1832  0.3033
Y  0.9084  0.8168  0.6967
Y  0.3354  0.3121  0.0688
Y  0.0234  0.6879  0.9312
Y  0.9766  0.3121  0.0688
Y  0.6646  0.6879  0.9312
Y  0.5645  0.7467  0.3968
Y  0.5581  0.1162  0.7894
Y  0.1821  0.7467  0.3968
Y  0.8179  0.2533  0.6032
Dy  0.2321  0.4643  0.8872
Dy  0.6979  0.3958  0.3857
Dy  0.7679  0.5357  0.1128
Dy  0.3021  0.6042  0.6143
Dy  0.0000  0.0000  0.5000
La  0.6844  0.0000  0.0000
La  0.3156  0.0000  0.0000

---

3.
# LaDy3Y

LaDy3Y after structural relaxation (PBE, the Alexandria database).

* SG: Cmcm
* energy above the most stable polymorph in this dataset: 0.318 eV/atom

Cell: 3.6693 8.6090 11.6319 Å, 90.00 90.00 102.28°
Positions (direct):
Dy  0.8455  0.1922  0.9973
Dy  0.3529  0.2070  0.7500
Dy  0.8455  0.1922  0.5027
Dy  0.1545  0.8078  0.4973
Dy  0.1545  0.8078  0.0027
Dy  0.6471  0.7930  0.2500
La  0.3084  0.1169  0.2500
La  0.6916  0.8831  0.7500
Y  0.9844  0.4662  0.2500
Y  0.0156  0.5338  0.7500

---

4.
# La4Dy9Y11

La4Dy9Y11 after structural relaxation (PBE, the Alexandria database).

* SG: Cmmm

Cell: 3.6370 15.6105 15.6105 Å, 116.32 90.00 90.00°
Positions (direct):
Dy  0.5000  0.8262  0.3865
Dy  0.5000  0.1737  0.6135
Dy  0.5000  0.3865  0.8262
Dy  0.5000  0.2020  0.0145
Dy  0.5000  0.0145  0.2020
Dy  0.5000  0.5000  0.5000
Dy  0.5000  0.7980  0.9855
Dy  0.5000  0.9855  0.7980
Dy  0.5000  0.6135  0.1737
Y  0.0000  0.3742  0.6258
Y  0.0000  0.5954  0.9673
Y  0.0000  0.7904  0.7904
Y  0.0000  0.0327  0.4046
Y  0.0000  0.2096  0.2096
Y  0.0000  0.9673  0.5954
Y  0.0000  0.4046  0.0327
Y  0.0000  0.6258  0.3742
Y  0.0000  0.0000  0.0000
Y  0.0000  0.1869  0.8131
Y  0.0000  0.8131  0.1869
La  0.5000  0.5820  0.7560
La  0.5000  0.4180  0.2440
La  0.5000  0.7560  0.5820
La  0.5000  0.2440  0.4180

---

5.
# La8Dy3Y

La8Dy3Y after structural relaxation (PBE, the Alexandria database).

* SG: I-42m

Cell: 8.5978 8.5979 8.5978 Å, 93.66 117.91 117.91°
Positions (direct):
La  0.0000  0.2491  0.7460
La  0.2467  0.3751  0.3751
La  0.5031  0.2540  0.2540
La  0.7533  0.1284  0.1284
La  0.0000  0.7460  0.2491
La  0.4969  0.7509  0.7509
La  0.0000  0.8716  0.6249
La  0.0000  0.6249  0.8716
Dy  0.5000  0.2500  0.7500
Dy  0.0000  0.5000  0.5000
Dy  0.5000  0.7500  0.2500
Y  0.0000  0.0000  0.0000

---

6.
# La8DyY6

La8DyY6 after structural relaxation (PBE, the Alexandria database).

* SG: P-3

Cell: 6.7478 9.4715 9.4715 Å, 120.00 90.00 90.00°
Positions (direct):
La  0.8823  0.3333  0.6667
La  0.1650  0.7524  0.0449
La  0.1650  0.2924  0.2476
La  0.8350  0.7076  0.7524
La  0.8350  0.2476  0.9551
La  0.1177  0.6667  0.3333
La  0.1650  0.9551  0.7076
La  0.8350  0.0449  0.2924
Y  0.6497  0.9022  0.5648
Y  0.3503  0.3374  0.9022
Y  0.3503  0.5648  0.6626
Y  0.6497  0.6626  0.0978
Y  0.3503  0.0978  0.4352
Y  0.6497  0.4352  0.3374
Dy  0.5000  0.0000  0.0000

---

7.
# La2Dy2Y3

La2Dy2Y3 after structural relaxation (PBE, the Alexandria database).

* SG: Immm
* energy above the most stable polymorph in this dataset: 0.007 eV/atom

Cell: 3.5778 12.0537 5.7701 Å, 76.13 90.00 98.55°
Positions (direct):
Dy  0.6373  0.2751  0.8626
Dy  0.3627  0.7249  0.1374
La  0.0878  0.1761  0.4120
La  0.9122  0.8239  0.5880
Y  0.7263  0.4526  0.2738
Y  0.0000  0.0000  0.0000
Y  0.2737  0.5474  0.7262

---

8.
# La2Dy2Y5

La2Dy2Y5 after structural relaxation (PBE, the Alexandria database).

* SG: C2/m
* energy above the most stable polymorph in this dataset: 0.005 eV/atom

Cell: 3.5094 12.6074 8.3553 Å, 60.06 90.00 98.00°
Positions (direct):
La  0.8205  0.6409  0.2157
La  0.1795  0.3591  0.7843
Y  0.6907  0.3813  0.1540
Y  0.0000  0.0000  0.0000
Y  0.0950  0.1900  0.5432
Y  0.9050  0.8100  0.4568
Y  0.3093  0.6187  0.8460
Dy  0.5462  0.0924  0.2661
Dy  0.4538  0.9076  0.7339

---

9.
# La2Dy5Y

La2Dy5Y after structural relaxation (PBE, the Alexandria database).

* SG: C2/c
* energy above the most stable polymorph in this dataset: 0.137 eV/atom

Cell: 9.9136 6.6993 10.8385 Å, 120.34 117.22 90.00°
Positions (direct):
Y  0.0000  0.0000  0.5000
Y  0.5000  0.5000  0.5000
La  0.6802  0.9628  0.8582
La  0.1781  0.4628  0.8582
La  0.3198  0.0372  0.1418
La  0.8219  0.5372  0.1418
Dy  0.3165  0.9489  0.7910
Dy  0.1016  0.3627  0.3886
Dy  0.9317  0.7500  0.0000
Dy  0.5255  0.5511  0.2090
Dy  0.7130  0.1373  0.6114
Dy  0.0683  0.2500  0.0000
Dy  0.6835  0.0511  0.2090
Dy  0.2870  0.8627  0.3886
Dy  0.4745  0.4489  0.7910
Dy  0.8984  0.6373  0.6114

---

10.
# La12Dy6Y

La12Dy6Y after structural relaxation (PBE, the Alexandria database).

* SG: R-3

Cell: 9.3415 9.3415 9.3415 Å, 106.89 106.89 106.89°
Positions (direct):
Dy  0.5588  0.9121  0.8080
Dy  0.1920  0.4412  0.0879
Dy  0.9121  0.8080  0.5588
Dy  0.4412  0.0879  0.1920
Dy  0.0879  0.1920  0.4412
Dy  0.8080  0.5588  0.9121
La  0.1938  0.5837  0.4880
La  0.5120  0.8062  0.4163
La  0.1839  0.7128  0.8827
La  0.8161  0.2872  0.1173
La  0.7128  0.8827  0.1839
La  0.4880  0.1938  0.5837
La  0.2872  0.1173  0.8161
La  0.8827  0.1839  0.7128
La  0.4163  0.5120  0.8062
La  0.1173  0.8161  0.2872
La  0.8062  0.4163  0.5120
La  0.5837  0.4880  0.1938
Y  0.0000  0.0000  0.0000

---

11.
# LaDy2Y

LaDy2Y after structural relaxation (PBE, the Alexandria database).

* SG: Pmmn
* energy above the most stable polymorph in this dataset: 0.018 eV/atom

Cell: 5.7495 7.3569 6.3417 Å, 90.00 90.00 90.00°
Positions (direct):
Dy  0.7500  0.5002  0.6646
Dy  0.7500  0.9998  0.6646
Dy  0.2500  0.0002  0.3354
Dy  0.2500  0.4998  0.3354
Y  0.2500  0.7500  0.8309
Y  0.7500  0.2500  0.1691
La  0.7500  0.7500  0.1719
La  0.2500  0.2500  0.8281

---

12.
# LaDy2Y7

LaDy2Y7 after structural relaxation (PBE, the Alexandria database).

* SG: Cmmm
* energy above the most stable polymorph in this dataset: 0.660 eV/atom

Cell: 5.7025 9.1206 9.1206 Å, 122.01 90.00 90.00°
Positions (direct):
Y  0.5000  0.9408  0.7040
Y  0.5000  0.0592  0.2960
Y  0.0000  0.2259  0.7741
Y  0.5000  0.2960  0.0592
Y  0.0000  0.7741  0.2259
Y  0.5000  0.5000  0.5000
Y  0.5000  0.7040  0.9408
Dy  0.5000  0.2974  0.7026
Dy  0.5000  0.7026  0.2974
La  0.0000  0.0000  0.0000

---

Number 1: electronic total energy -5.2535 eV/atom, ΔE_f 0.024 eV per atom. Number 2: electronic total energy -5.6759 eV/atom, ΔE_f 0.136 eV per atom. Number 3: electronic total energy -4.7019 eV/atom, ΔE_f 0.338 eV per atom. Number 4: electronic total energy -5.4604 eV/atom, ΔE_f 0.049 eV per atom. Number 5: electronic total energy -4.4430 eV/atom, ΔE_f 0.531 eV per atom. Number 6: electronic total energy -5.3646 eV/atom, ΔE_f 0.156 eV per atom. Number 7: electronic total energy -5.4181 eV/atom, ΔE_f 0.075 eV per atom. Number 8: electronic total energy -5.4857 eV/atom, ΔE_f 0.223 eV per atom. Number 9: electronic total energy -4.7479 eV/atom, ΔE_f 0.168 eV per atom. Number 10: electronic total energy -4.6844 eV/atom, ΔE_f 0.221 eV per atom. Number 11: electronic total energy -5.1236 eV/atom, ΔE_f 0.025 eV per atom. Number 12: electronic total energy -5.2521 eV/atom, ΔE_f 0.686 eV per atom.